NaNbSe2N: relaxed, PBE.

The structure in POSCAR format:
```
NaNbSe2N
1.0
5.224 0.000 0.000
0.000 5.224 0.000
0.000 0.000 3.982
Na Nb Se N
1 1 2 1
Cartesian
0.000 0.000 0.000
2.612 2.612 1.991
0.000 2.612 1.991
2.612 0.000 1.991
2.612 2.612 0.000
```

Computed properties:
energy above the lowest structure with this stoichiometry: 0 meV/atom
ΔE_f (raw): -0.38 eV/atom
ρ: 4.4 g cm⁻³
SG: No. 123

Rb2PmMnS4: relaxed, PBE.

The structure in POSCAR format:
```
Rb2PmMnS4
1.0
5.845 -5.791 0.000
5.845 5.791 0.000
-5.536 0.000 6.472
Rb Pm Mn S
4 2 2 8
Cartesian
0.000 0.000 0.000
-2.768 0.000 3.236
2.923 2.896 0.000
0.155 -2.896 3.236
5.845 0.000 0.000
3.078 0.000 3.236
0.155 2.896 3.236
2.923 -2.896 0.000
2.535 2.747 3.141
0.277 0.457 3.585
6.388 2.747 0.096
3.045 -0.457 0.349
3.110 0.457 6.123
-0.233 -2.747 6.377
5.878 -0.457 2.887
3.620 -2.747 3.332
```

Computed properties:
ΔE_f (raw): -1.17 eV/atom
ρ: 3.8 g cm⁻³
SG: No. 15

Na3Pb: relaxed, PBE.

The structure in POSCAR format:
```
Na3Pb
1.0
6.486 0.000 0.000
0.000 6.954 0.000
0.000 0.000 11.269
Na Pb
12 4
Cartesian
0.000 0.000 0.000
0.000 1.739 2.817
0.000 1.739 8.452
0.000 3.477 5.635
0.000 5.216 2.817
0.000 5.216 8.452
3.243 0.000 5.635
3.243 1.739 2.817
3.243 1.739 8.452
3.243 3.477 0.000
3.243 5.216 2.817
3.243 5.216 8.452
0.000 0.000 5.635
0.000 3.477 0.000
3.243 0.000 0.000
3.243 3.477 5.635
```

Computed properties:
ρ: 3.6 g cm⁻³
SG: No. 69
energy of formation: -0.013 eV per atom

Tc2GeOs: relaxed, PBE.

The structure in POSCAR format:
```
Tc2GeOs
1.0
4.102 0.000 0.000
-2.051 3.553 0.000
0.000 0.000 13.397
Tc Ge Os
6 3 3
Cartesian
0.000 0.000 0.000
0.000 0.000 2.470
0.000 2.369 8.931
0.000 2.369 11.401
2.051 1.184 4.466
2.051 1.184 6.935
0.000 0.000 7.941
0.000 2.369 3.476
2.051 1.184 12.407
0.000 0.000 10.481
0.000 2.369 6.015
2.051 1.184 1.550
```

Computed properties:
ρ: 11.7 g cm⁻³
SG: No. 160
energy of formation: 0.283 eV per atom

PmAg2BiS4: relaxed, PBE.

The structure in POSCAR format:
```
PmAg2BiS4
1.0
6.674 0.000 0.000
0.000 4.094 0.000
-2.605 0.000 6.617
Pm Ag Bi S
1 2 1 4
Cartesian
0.000 0.000 0.000
2.035 0.000 3.309
3.337 2.047 0.000
-1.302 2.047 3.309
1.005 2.047 1.670
-0.260 0.000 4.998
4.330 0.000 1.620
3.064 2.047 4.948
```

Computed properties:
ΔE_f (raw): -0.74 eV/atom
ρ: 6.4 g cm⁻³
SG: No. 10

CsRbGe2Te: relaxed, PBE.

The structure in POSCAR format:
```
CsRbGe2Te
1.0
6.033 0.000 0.000
0.000 6.033 0.000
0.000 0.000 6.613
Cs Rb Ge Te
1 1 2 1
Cartesian
0.000 0.000 0.000
0.000 0.000 3.307
0.000 3.016 0.000
3.016 0.000 0.000
3.016 3.016 3.307
```

Computed properties:
ΔE_f (raw): 1.04 eV/atom
ρ: 3.4 g cm⁻³
SG: No. 123

Cs2MnPbBr6: relaxed, PBE.

The structure in POSCAR format:
```
Cs2MnPbBr6
1.0
7.931 0.000 0.000
-3.966 6.869 0.000
0.000 0.000 7.299
Cs Mn Pb Br
2 1 1 6
Cartesian
0.000 4.579 1.435
3.966 2.290 5.864
0.000 0.000 0.000
0.000 0.000 3.649
0.000 2.221 5.709
-2.043 5.758 5.709
1.923 1.110 1.590
2.043 5.758 5.709
6.008 1.110 1.590
3.966 4.648 1.590
```

Computed properties:
ΔE_f (raw): -1.25 eV/atom
ρ: 4.2 g cm⁻³
SG: No. 164

RbScVCl6: relaxed, PBE.

The structure in POSCAR format:
```
RbScVCl6
1.0
6.455 0.000 0.000
-3.227 5.590 0.000
0.000 0.000 15.030
Rb Sc V Cl
2 2 2 12
Cartesian
0.000 0.000 0.000
0.000 0.000 7.515
0.000 3.727 3.757
3.227 1.863 11.272
0.000 3.727 11.272
3.227 1.863 3.757
-1.169 2.061 9.843
-2.027 3.547 12.702
1.169 2.061 12.702
-0.858 5.572 9.843
2.369 0.018 2.328
1.200 2.043 5.187
2.027 3.547 9.843
0.858 5.572 12.702
4.085 0.018 5.187
2.058 3.529 2.328
5.255 2.043 2.328
4.397 3.529 5.187
```

Computed properties:
ΔE_f (raw): -1.79 eV/atom
ρ: 2.4 g cm⁻³
SG: No. 163

ρ of number 3 (Na3Pb)? 3.6 g cm⁻³